TlFeCo2 | GGA-PBEsol | optimized geometry

```
TlFeCo2
1.0
2.937 0.000 0.000
0.000 2.937 0.000
0.000 0.000 6.135
Tl Fe Co
1 1 2
direct
0.000 0.000 0.000 Tl
0.000 0.000 0.500 Fe
0.500 0.500 0.292 Co
0.500 0.500 0.708 Co
```

Results
Its space group is No. 123. The calculation puts the magnetic moment at 5.182 μB/cell. As for the calculated formation energy: 0.302 eV per atom. Its polymorph energy (0 for the lowest one) is 0 meV per atom. For the total energy, the calculation gives -6.465 eV/atom. The value obtained for the density of states at the Fermi level is 0.64 states/eV/atom. For the calculated density, the calculation gives 11862 kg/m3.


FeCo2W | GGA-PBEsol | optimized geometry

```
FeCo2W
1.0
-1.792 1.792 3.547
1.792 -1.792 3.547
1.792 1.792 -3.547
Fe Co W
1 2 1
direct
0.000 0.000 0.000 Fe
0.250 0.750 0.500 Co
0.750 0.250 0.500 Co
0.500 0.500 0.000 W
```

Results
Its space group is No. 139. The calculation puts the magnetic moment at 2.132 μB/cell. As for the calculated formation energy: -0.037 eV per atom. For the total energy, the calculation gives -9.598 eV/atom. The value obtained for the density of states at the Fermi level is 1.01 states/eV/atom. For the calculated density, the calculation gives 13032 kg/m3.


FeCo6W | GGA-PBEsol | optimized geometry

```
FeCo6W
1.0
3.509 -4.978 0.000
3.509 4.978 0.000
0.000 0.000 9.945
Fe Co W
4 24 4
direct
0.000 0.000 0.247 Fe
0.000 0.000 0.753 Fe
0.253 0.747 0.000 Fe
0.747 0.253 0.000 Fe
0.000 0.000 0.000 Co
0.000 0.000 0.500 Co
0.119 0.373 0.123 Co
0.119 0.373 0.877 Co
0.123 0.370 0.374 Co
0.123 0.370 0.626 Co
0.248 0.752 0.247 Co
0.248 0.752 0.753 Co
0.370 0.123 0.374 Co
0.370 0.123 0.626 Co
0.373 0.119 0.123 Co
0.373 0.119 0.877 Co
0.500 0.500 0.000 Co
0.500 0.500 0.500 Co
0.627 0.881 0.123 Co
0.627 0.881 0.877 Co
0.630 0.877 0.374 Co
0.630 0.877 0.626 Co
0.752 0.248 0.247 Co
0.752 0.248 0.753 Co
0.877 0.630 0.374 Co
0.877 0.630 0.626 Co
0.881 0.627 0.123 Co
0.881 0.627 0.877 Co
0.253 0.747 0.500 W
0.500 0.500 0.248 W
0.500 0.500 0.752 W
0.747 0.253 0.500 W
```

Results
Its space group is No. 65. The calculation puts the magnetic moment at 31.430 μB/cell. As for the calculated formation energy: -0.004 eV per atom. For the total energy, the calculation gives -8.653 eV/atom. The value obtained for the density of states at the Fermi level is 1.35 states/eV/atom. For the calculated density, the calculation gives 11343 kg/m3.


FeCo2W | GGA-PBEsol | optimized geometry

```
FeCo2W
1.0
-1.783 1.783 3.591
1.783 -1.783 3.591
1.783 1.783 -3.591
Fe Co W
1 2 1
direct
0.000 0.000 0.000 Fe
0.500 0.500 0.000 Co
0.750 0.250 0.500 Co
0.250 0.750 0.500 W
```

Results
Its space group is No. 119. The calculation puts the magnetic moment at 2.484 μB/cell. As for the calculated formation energy: -0.006 eV per atom. For the total energy, the calculation gives -9.568 eV/atom. The value obtained for the density of states at the Fermi level is 1.04 states/eV/atom. For the calculated density, the calculation gives 13003 kg/m3.